# GGA-PBE ZnGaTe2, optimized geometry
data_ZnGaTe2
_cell_length_a 7.0822
_cell_length_b 4.1239
_cell_length_c 16.2454
_cell_angle_alpha 90.00
_cell_angle_beta 90.00
_cell_angle_gamma 90.00
_space_group_name_H-M_alt 'P n m a'
_space_group_IT_number 62
_space_group_name_Hall '-P 2ac 2n'
loop_
_atom_site_label
_atom_site_type_symbol
_atom_site_fract_x
_atom_site_fract_y
_atom_site_fract_z
Zn1 Zn 0.1767 0.2500 0.1686
Ga1 Ga 0.1890 0.7500 0.4312
Te1 Te 0.1994 0.7500 0.8234
Te2 Te 0.2083 0.2500 0.5761
# **Crystal system**: orthorhombic

=====

# GGA-PBE Zn3GaTe, optimized geometry
data_Zn3GaTe
_cell_length_a 5.3425
_cell_length_b 5.3425
_cell_length_c 5.3425
_cell_angle_alpha 90.00
_cell_angle_beta 90.00
_cell_angle_gamma 90.00
_space_group_name_H-M_alt 'P m -3 m'
_space_group_IT_number 221
_space_group_name_Hall '-P 4 2 3'
loop_
_atom_site_label
_atom_site_type_symbol
_atom_site_fract_x
_atom_site_fract_y
_atom_site_fract_z
Zn1 Zn 0.0000 0.0000 0.5000
Ga1 Ga 0.5000 0.5000 0.5000
Te1 Te 0.0000 0.0000 0.0000
# **Crystal system**: cubic
# **Energy above the most stable polymorph in this dataset**: 352.5 meV per atom

=====

# GGA-PBE ZnGaTe2, optimized geometry
data_ZnGaTe2
_cell_length_a 4.5260
_cell_length_b 4.5260
_cell_length_c 22.1742
_cell_angle_alpha 90.00
_cell_angle_beta 90.00
_cell_angle_gamma 120.00
_space_group_name_H-M_alt 'R 3 m'
_space_group_IT_number 160
_space_group_name_Hall 'R 3 -2"'
loop_
_atom_site_label
_atom_site_type_symbol
_atom_site_fract_x
_atom_site_fract_y
_atom_site_fract_z
Zn1 Zn 0.0000 0.0000 0.0000
Ga1 Ga 0.0000 0.0000 0.4993
Te1 Te 0.0000 0.0000 0.3703
Te2 Te 0.0000 0.0000 0.8782
# **Crystal system**: trigonal

=====

Number 1: Fermi-level density of states 6.72 states/eV/cell, E_form (uncorrected) -0.241 eV/atom. Number 2: Fermi-level density of states 3.29 states/eV/cell, E_form (uncorrected) 0.623 eV/atom. Number 3: Fermi-level density of states 5.90 states/eV/cell, E_form (uncorrected) -0.237 eV/atom.